No. 1
First-principles (PBE) data for crystalline SrLi2MgIn4 at its relaxed geometry, as listed in Alexandria via LeMat-Bulk.

```
SrLi2MgIn4
1.0
-3.631 -1.626 -2.691
0.421 -4.179 -2.329
-4.884 -6.840 6.437
Sr Li Mg In
1 2 1 4
Cartesian
0.000 0.000 0.000 Sr
-5.764 -9.090 0.411 Li
-2.330 -3.555 1.005 Li
-4.047 -6.323 0.708 Mg
-5.167 -7.763 3.089 In
-4.566 -7.550 -2.136 In
-3.528 -5.096 3.553 In
-2.927 -4.883 -1.673 In
```

SG: R-3m, No. 166
Magnetization: 0.00 μB/atom
ΔE_f: -0.285 eV/atom
V: 25.51 Å³ per atom
DOS at the Fermi energy: 2.005 states/eV/cell

No. 2
First-principles (PBE) data for crystalline Sr3Li2Mg2In4 at its relaxed geometry, as listed in Alexandria via LeMat-Bulk.

```
Sr3Li2Mg2In4
1.0
5.297 0.000 0.000
-2.648 4.587 0.000
0.000 0.000 13.633
Sr Li Mg In
3 2 2 4
Cartesian
0.000 0.000 9.801 Sr
0.000 0.000 0.000 Sr
0.000 0.000 3.832 Sr
2.648 1.529 11.598 Li
0.000 3.058 2.035 Li
2.648 1.529 5.672 Mg
0.000 3.058 7.961 Mg
2.648 1.529 2.133 In
0.000 3.058 11.500 In
2.648 1.529 8.589 In
0.000 3.058 5.044 In
```

SG: P-3m1, No. 164
Magnetization: 0.00 μB/atom
ΔE_f: -0.191 eV/atom
V: 30.11 Å³ per atom
DOS at the Fermi energy: 8.011 states/eV/cell

No. 3
First-principles (PBE) data for crystalline Li2TbMg2In2 at its relaxed geometry, as listed in Alexandria via LeMat-Bulk.

```
Li2TbMg2In2
1.0
-0.434 -4.588 1.176
3.688 1.345 -3.008
2.815 1.552 7.092
Li Tb Mg In
2 1 2 2
Cartesian
1.840 -2.401 0.931 Li
4.228 0.710 4.330 Li
0.000 0.000 0.000 Tb
2.086 0.400 2.332 Mg
3.982 -2.091 2.929 Mg
2.657 -1.306 5.504 In
3.412 -0.385 -0.243 In
```

SG: C2/m, No. 12
Magnetization: 0.00 μB/atom
ΔE_f: -0.205 eV/atom
V: 22.14 Å³ per atom
DOS at the Fermi energy: 2.180 states/eV/cell

No. 4
First-principles (PBE) data for crystalline Li2Tb2MgIn5 at its relaxed geometry, as listed in Alexandria via LeMat-Bulk.

```
Li2Tb2MgIn5
1.0
-0.737 3.170 1.820
-10.098 -3.751 2.444
3.908 -4.445 9.327
Li Tb Mg In
4 4 2 10
Cartesian
1.180 -3.247 6.136 Li
-7.370 -4.949 5.635 Li
-2.892 -6.234 9.688 Li
-3.298 -1.962 2.083 Li
-6.128 -3.304 3.273 Tb
-0.062 -4.892 8.498 Tb
-0.486 -2.102 3.464 Tb
-5.703 -6.095 8.307 Tb
0.000 0.000 0.000 Mg
-3.095 -4.098 5.885 Mg
-2.190 0.542 1.990 In
-4.738 -5.568 11.601 In
2.112 -2.184 8.482 In
-5.771 -3.003 6.714 In
-9.040 -2.841 5.108 In
-1.156 -2.023 6.876 In
-3.293 -3.655 8.854 In
-3.634 -1.371 4.737 In
-5.418 -0.291 2.132 In
1.586 -0.637 5.573 In
```

SG: P4/mbm, No. 127
Magnetization: 0.00 μB/atom
ΔE_f: -0.290 eV/atom
V: 22.75 Å³ per atom
DOS at the Fermi energy: 10.721 states/eV/cell